No. 1
# La3CdPt, PBEsol geometry, DFT SCAN
# DFT formation energy (eV per atom): 0.52
data_La3CdPt
_chemical_formula_sum 'La3 Cd1 Pt1'
_cell_length_a 5.7075
_cell_length_b 5.7075
_cell_length_c 5.7075
_cell_angle_alpha 90.00
_cell_angle_beta 90.00
_cell_angle_gamma 90.00
_symmetry_space_group_name_H-M 'P m -3 m'
_symmetry_Int_Tables_number 221
_symmetry_space_group_name_Hall '-P 4 2 3'
loop_
_atom_site_label
_atom_site_type_symbol
_atom_site_fract_x
_atom_site_fract_y
_atom_site_fract_z
_atom_site_occupancy
La1 La 0.0000 0.0000 0.5000 1
Cd1 Cd 0.0000 0.0000 0.0000 1
Pt1 Pt 0.5000 0.5000 0.5000 1

No. 2
# BaTl2Si, PBEsol geometry, DFT SCAN
# Formation energy from raw total energies (eV/f.u.): 0.023
# ΔE to the lowest computed polymorph (kJ/mol of atoms): 17.6
data_BaTl2Si
_chemical_formula_sum 'Ba2 Tl4 Si2'
_cell_length_a 5.1433
_cell_length_b 5.1433
_cell_length_c 8.6485
_cell_angle_alpha 90.00
_cell_angle_beta 90.00
_cell_angle_gamma 90.00
_symmetry_space_group_name_H-M 'I -4 m 2'
_symmetry_Int_Tables_number 119
_symmetry_space_group_name_Hall 'I -4 -2'
loop_
_atom_site_label
_atom_site_type_symbol
_atom_site_fract_x
_atom_site_fract_y
_atom_site_fract_z
_atom_site_occupancy
Ba1 Ba 0.0000 0.0000 0.0000 1
Tl1 Tl 0.0000 0.0000 0.5000 1
Tl2 Tl 0.0000 0.5000 0.7500 1
Si1 Si 0.0000 0.5000 0.2500 1

No. 3
# NbSi2PtSe, PBEsol geometry, DFT SCAN
# Formation energy from raw total energies (eV/f.u.): 5.350
data_NbSi2PtSe
_chemical_formula_sum 'Nb1 Si2 Pt1 Se1'
_cell_length_a 4.8095
_cell_length_b 4.8095
_cell_length_c 4.7701
_cell_angle_alpha 90.00
_cell_angle_beta 90.00
_cell_angle_gamma 90.00
_symmetry_space_group_name_H-M 'P 4/m m m'
_symmetry_Int_Tables_number 123
_symmetry_space_group_name_Hall '-P 4 2'
loop_
_atom_site_label
_atom_site_type_symbol
_atom_site_fract_x
_atom_site_fract_y
_atom_site_fract_z
_atom_site_occupancy
Nb1 Nb 0.0000 0.0000 0.0000 1
Si1 Si 0.0000 0.5000 0.0000 1
Pt1 Pt 0.5000 0.5000 0.5000 1
Se1 Se 0.0000 0.0000 0.5000 1

No. 4
# AlFe2IrPt, PBEsol geometry, DFT SCAN
# DFT formation energy (eV per atom): 0.78
data_AlFe2IrPt
_chemical_formula_sum 'Al1 Fe2 Ir1 Pt1'
_cell_length_a 4.5329
_cell_length_b 4.5329
_cell_length_c 4.5185
_cell_angle_alpha 90.00
_cell_angle_beta 90.00
_cell_angle_gamma 90.00
_symmetry_space_group_name_H-M 'P 4/m m m'
_symmetry_Int_Tables_number 123
_symmetry_space_group_name_Hall '-P 4 2'
loop_
_atom_site_label
_atom_site_type_symbol
_atom_site_fract_x
_atom_site_fract_y
_atom_site_fract_z
_atom_site_occupancy
Al1 Al 0.0000 0.0000 0.0000 1
Fe1 Fe 0.0000 0.5000 0.5000 1
Ir1 Ir 0.0000 0.0000 0.5000 1
Pt1 Pt 0.5000 0.5000 0.0000 1

Number 1: DOS(E_F) 1.68 states/eV per atom, magnetization 0.00 μB/f.u.. Number 2: DOS(E_F) 0.46 states/eV per atom, magnetization 0.00 μB/f.u.. Number 3: DOS(E_F) 1.02 states/eV per atom, magnetization 0.00 μB/f.u.. Number 4: DOS(E_F) 0.85 states/eV per atom, magnetization 7.68 μB/f.u..